Computed, not measured: Ta2BeRu at its PBEsol-relaxed geometry at the meta-GGA SCAN level of DFT.

ΔH_f (0 K)	-0.1480	eV per atom

Lattice parameters (Å, degrees): 9.878 3.018 4.375 90.00 115.89 90.00
Space group Cm (No. 8)
Asymmetric unit:
Ta1 0.000 0.000 0.000
Ta2 0.238 0.000 0.739
Be1 0.464 0.000 0.464
Ru1 0.244 0.500 0.247

***

Computed, not measured: ReOs at its PBEsol-relaxed geometry at the meta-GGA SCAN level of DFT.

ΔH_f (0 K)	-0.0989	eV per atom
energy above the lowest structure with this stoichiometry	0.015	eV per atom

Lattice parameters (Å, degrees): 9.919 2.743 4.759 90.00 118.62 90.00
Space group C2/m (No. 12)
Asymmetric unit:
Re1 0.124 0.000 0.459
Os1 0.125 0.500 0.958

***

Computed, not measured: Na2Cr2O7 at its PBEsol-relaxed geometry at the meta-GGA SCAN level of DFT.

uncorrected formation energy	-1.986	eV per atom

Lattice parameters (Å, degrees): 6.972 6.996 7.341 62.75 85.20 82.85
Space group P-1 (No. 2)
Asymmetric unit:
Na1 0.129 0.230 0.331
Na2 0.340 0.388 0.744
Cr1 0.156 0.749 0.242
Cr2 0.365 0.873 0.804
O1 0.001 0.392 0.779
O2 0.060 0.891 0.355
O3 0.245 0.925 0.000
O4 0.246 0.716 0.761
O5 0.334 0.584 0.372
O6 0.370 0.107 0.607
O7 0.418 0.238 0.123

***

Computed, not measured: Sr2AlSi at its PBEsol-relaxed geometry at the meta-GGA SCAN level of DFT.

uncorrected formation energy	0.275	eV per atom

Lattice parameters (Å, degrees): 8.558 8.558 6.660 90.00 90.00 90.00
Space group I-42d (No. 122)
Asymmetric unit:
Sr1 0.228 0.250 0.125
Al1 0.000 0.000 0.500
Si1 0.000 0.000 0.000

***

Computed, not measured: Nd4Zn3Au5 at its PBEsol-relaxed geometry at the meta-GGA SCAN level of DFT.

ΔH_f (0 K)	-0.8834	eV per atom

Lattice parameters (Å, degrees): 7.018 4.580 7.903 90.00 90.40 90.00
Space group Pm (No. 6)
Asymmetric unit:
Nd1 0.000 0.000 0.000
Nd2 0.008 0.500 0.573
Nd3 0.500 0.000 0.079
Nd4 0.515 0.500 0.495
Zn1 0.199 0.500 0.206
Zn2 0.311 0.000 0.706
Zn3 0.688 0.500 0.864
Au1 0.227 0.000 0.375
Au2 0.286 0.500 0.875
Au3 0.712 0.000 0.715
Au4 0.791 0.500 0.181
Au5 0.798 0.000 0.374

***

Computed, not measured: AlNiMo2 at its PBEsol-relaxed geometry at the meta-GGA SCAN level of DFT.

ΔH_f (0 K)	-0.2284	eV per atom

Lattice parameters (Å, degrees): 3.578 3.697 8.299 90.00 90.00 90.00
Space group Immm (No. 71)
Asymmetric unit:
Al1 0.000 0.000 0.000
Ni1 0.000 0.000 0.500
Mo1 0.000 0.500 0.249

***

Number 1: density of states at the Fermi level 3.7 states/eV/cell, raw total energy -3.1777 Ry/atom. Number 2: density of states at the Fermi level 4.8 states/eV/cell, raw total energy -5.2616 Ry/atom. Number 3: density of states at the Fermi level 0.0 states/eV/cell, raw total energy -0.7394 Ry/atom. Number 4: density of states at the Fermi level 17.3 states/eV/cell, raw total energy -1.1249 Ry/atom. Number 5: density of states at the Fermi level 6.1 states/eV/cell, raw total energy -3.4989 Ry/atom. Number 6: density of states at the Fermi level 2.9 states/eV/cell, raw total energy -1.7384 Ry/atom.